Here is a geometry-optimized TlPbSe2O6 structure from Alexandria. Energies are from PBE.

Lattice parameters (Å, degrees): 6.959 6.959 8.365 94.70 94.70 105.96
Fractional coordinates of all 20 atoms:
O1 0.608 0.034 0.281
O2 0.034 0.608 0.781
O3 0.808 0.754 0.223
O4 0.392 0.966 0.719
Pb1 0.388 0.612 0.750
Tl1 0.204 0.796 0.250
O5 0.545 0.263 0.950
Se1 0.313 0.094 0.873
O6 0.246 0.192 0.277
Se2 0.094 0.313 0.373
O7 0.754 0.808 0.723
O8 0.263 0.545 0.450
O9 0.455 0.737 0.050
Tl2 0.796 0.204 0.750
Pb2 0.612 0.388 0.250
Se3 0.687 0.906 0.127
Se4 0.906 0.687 0.627
O10 0.966 0.392 0.219
O11 0.737 0.455 0.550
O12 0.192 0.246 0.777

Values from the calculation:
SG: C2/c, No. 15
Energy: -5.1389 eV per atom
Uncorrected formation energy: -829 kJ/mol of formula units
Density of states at the Fermi level: 3.70 states/eV/f.u.